Entry 1:
Below is a relaxed structure of Tm4PdRh2, with properties calculated at the PBE-GGA level.

Values from the calculation:
Energy relative to the lowest polymorph listed for this composition (meV per atom): 0

Cell: 6.7693 6.7693 6.8149 Å, 90.00 90.00 90.00°
Closest atoms and distances in Å follow each position.
Space group I4/mmm (No. 139)
Asymmetric unit:
Tm 0.2500 0.2500 0.2500 [8 per cell]  2 Pd 2.94, 4 Rh 2.94
Pd 0.0000 0.0000 0.0000 [2 per cell]  8 Tm 2.94
Rh 0.0000 0.5000 0.0000 [4 per cell]  8 Tm 2.94

***

Entry 2:
Below is a relaxed structure of TmPdRh, with properties calculated at the PBE-GGA level.

Values from the calculation:
Energy relative to the lowest polymorph listed for this composition (meV per atom): 142

Cell: 3.2021 4.5874 7.9533 Å, 90.00 90.00 90.00°
Closest atoms and distances in Å follow each position.
Space group Pmmn (No. 59, origin choice 2)
Asymmetric unit:
Tm 0.2500 0.2500 0.2412 [2 per cell]  4 Rh 2.70-2.83, 4 Pd 2.86-2.88
Pd 0.2500 0.7500 0.4607 [2 per cell]  4 Tm 2.86-2.88, 6 Pd 2.87-3.20
Rh 0.2500 0.7500 0.0324 [2 per cell]  4 Tm 2.70-2.83, 4 Rh 2.84